# GGA-PBE BaInRe2O8, optimized geometry
data_BaInRe2O8
_chemical_formula_sum 'Ba1 In1 Re2 O8'
_space_group_name_H-M_alt 'P 1'
_space_group_IT_number 1
_space_group_name_Hall 'P 1'
_cell_length_a 6.149
_cell_length_b 6.149
_cell_length_c 8.365
_cell_angle_alpha 90.00
_cell_angle_beta 90.00
_cell_angle_gamma 120.00
loop_
_atom_site_label
_atom_site_type_symbol
_atom_site_fract_x
_atom_site_fract_y
_atom_site_fract_z
Ba1 Ba 0.000 0.000 0.000
In1 In 0.000 0.000 0.500
Re1 Re 0.333 0.667 0.814
Re2 Re 0.667 0.333 0.186
O1 O 0.173 0.347 0.750
O2 O 0.173 0.827 0.750
O3 O 0.333 0.667 0.026
O4 O 0.347 0.173 0.250
O5 O 0.653 0.827 0.750
O6 O 0.667 0.333 0.974
O7 O 0.827 0.173 0.250
O8 O 0.827 0.653 0.250
# Theoretical density = 4.6 Mg/m³
# Symmetry = P-3m1 (164)
# Raw total energy = -7.502 eV per atom